K2MnSi after structural relaxation. Source: Alexandria, functional PBE.

Cell: 6.338 6.338 6.338 Å, 139.19 123.42 72.08°
Site moments in Bohr magnetons follow the coordinates.
Element x y z (fractional)
K: 0.963 0.963 0.000  0.01
K: 0.281 0.781 0.500  0.01
Mn: 0.588 0.588 0.000  3.81
Si: 0.668 0.168 0.500  -0.09

Results
uncorrected energy	-15.34	eV per cell
relative energy among the computed polymorphs	100	meV per atom
total moment	4.316	μB/f.u.
formation energy (no corrections)	0.362	eV per atom

=====

La3Sm12Hg after structural relaxation. Source: Alexandria, functional PBE.

Cell: 5.083 5.083 20.611 Å, 90.00 90.00 90.00°
Element x y z (fractional)
La: 0.000 0.000 0.246
La: 0.000 0.000 0.500
La: 0.000 0.000 0.754
Sm: 0.500 0.500 0.000
Sm: 0.500 0.500 0.241
Sm: 0.500 0.500 0.500
Sm: 0.500 0.500 0.759
Sm: 0.500 0.000 0.118
Sm: 0.500 0.000 0.373
Sm: 0.500 0.000 0.627
Sm: 0.500 0.000 0.882
Sm: 0.000 0.500 0.118
Sm: 0.000 0.500 0.373
Sm: 0.000 0.500 0.627
Sm: 0.000 0.500 0.882
Hg: 0.000 0.000 0.000

Results
uncorrected energy	-71.90	eV per cell
formation enthalpy at 0 K	-0.011	eV/atom
total moment	0.000	μB/f.u.

=====

RbBiPd2C after structural relaxation. Source: Alexandria, functional PBE.

Cell: 5.036 6.687 5.036 Å, 90.00 90.00 90.00°
Site moments in Bohr magnetons follow the coordinates.
Element x y z (fractional)
C: 0.500 0.500 0.500  0.78
Rb: 0.000 0.000 0.000  -0.02
Bi: 0.000 0.500 0.000  -0.54
Pd: 0.000 0.000 0.500  0.01
Pd: 0.500 0.000 0.000  0.00

Results
uncorrected energy	-11.29	eV per cell
formation enthalpy at 0 K	2.633	eV/atom
total moment	0.806	μB/f.u.

=====

Be2TcSb after structural relaxation. Source: Alexandria, functional PBE.

Cell: 3.226 3.226 5.230 Å, 90.00 90.00 90.00°
Element x y z (fractional)
Sb: 0.500 0.500 0.250
Tc: 0.500 0.500 0.750
Be: 0.000 0.000 0.949
Be: 0.000 0.000 0.551

Results
uncorrected energy	-21.63	eV per cell
total moment	0.000	μB/f.u.
formation energy (no corrections)	0.077	eV per atom

=====

RbRe2Bi after structural relaxation. Source: Alexandria, functional PBE.

Cell: 4.939 4.939 10.519 Å, 76.42 76.42 90.00°
Site moments in Bohr magnetons follow the coordinates.
Element x y z (fractional)
Re: 0.837 0.125 0.250  0.60
Re: 0.913 0.625 0.250  0.60
Re: 0.375 0.163 0.750  0.60
Re: 0.875 0.087 0.750  0.60
Bi: 0.000 0.000 0.000  -0.05
Bi: 0.750 0.250 0.500  -0.05
Rb: 0.500 0.500 0.000  0.00
Rb: 0.250 0.750 0.500  0.00

Results
uncorrected energy	-47.16	eV per cell
formation enthalpy at 0 K	1.541	eV/atom
total moment	1.426	μB/f.u.

=====

SbN after structural relaxation. Source: Alexandria, functional PBE.

Cell: 8.935 8.901 6.946 Å, 90.00 90.00 90.00°
Element x y z (fractional)
Sb: 0.000 0.000 0.266
Sb: 0.000 0.000 0.734
Sb: 0.250 0.750 0.984
Sb: 0.250 0.750 0.516
Sb: 0.000 0.500 0.766
Sb: 0.000 0.500 0.234
Sb: 0.250 0.250 0.484
Sb: 0.250 0.250 0.016
Sb: 0.500 0.000 0.766
Sb: 0.500 0.000 0.234
Sb: 0.750 0.750 0.484
Sb: 0.750 0.750 0.016
Sb: 0.500 0.500 0.266
Sb: 0.500 0.500 0.734
Sb: 0.750 0.250 0.984
Sb: 0.750 0.250 0.516
N: 0.000 0.341 0.000
N: 0.000 0.659 0.000
N: 0.250 0.409 0.250
N: 0.250 0.091 0.250
N: 0.000 0.841 0.500
N: 0.000 0.159 0.500
N: 0.250 0.909 0.750
N: 0.250 0.591 0.750
N: 0.500 0.341 0.500
N: 0.500 0.659 0.500
N: 0.750 0.409 0.750
N: 0.750 0.091 0.750
N: 0.500 0.841 0.000
N: 0.500 0.159 0.000
N: 0.750 0.909 0.250
N: 0.750 0.591 0.250

Results
uncorrected energy	-180.58	eV per cell
relative energy among the computed polymorphs	235	meV per atom
total moment	0.000	μB/f.u.
formation energy (no corrections)	0.581	eV per atom

=====

Question: Among the records above, which one has the highest total moment?
Answer: K2MnSi